Entry 1:
Crystalline SmGa4Co2Ni at its relaxed geometry. Source: Alexandria, functional GGA-PBE.

Calculated values
Calculated formation energy ... -0.3955 eV/atom
Calculated volume ... 125.0 Å³ per cell
Space group ... R-3m

abc: 8.984 8.984 8.984
angles: 26.25 26.25 26.25
Atoms (fractional coordinates):
Sm 0.000 0.000 0.000
Ga 0.131 0.131 0.131
Ga 0.405 0.405 0.405
Ga 0.595 0.595 0.595
Ga 0.869 0.869 0.869
Co 0.228 0.228 0.228
Co 0.772 0.772 0.772
Ni 0.500 0.500 0.500

---

Entry 2:
Crystalline NaCaV3 at its relaxed geometry. Source: Alexandria, functional GGA-PBE.

Calculated values
Calculated formation energy ... 1.7720 eV/atom
Energy above the most stable polymorph in this dataset ... 0 meV per atom
Calculated volume ... 132.4 Å³ per cell
Space group ... Pm-3m

abc: 5.097 5.097 5.097
angles: 90.00 90.00 90.00
Atoms (fractional coordinates):
Na 0.000 0.000 0.000
Ca 0.500 0.500 0.500
V 0.000 0.000 0.500
V 0.000 0.500 0.000
V 0.500 0.000 0.000

---

Entry 3:
Crystalline Pm2HoTm at its relaxed geometry. Source: Alexandria, functional GGA-PBE.

Calculated values
Calculated formation energy ... 0.1109 eV/atom
Energy above the most stable polymorph in this dataset ... 95 meV per atom
Calculated volume ... 523.4 Å³ per cell
Space group ... Fm-3m

abc: 8.059 8.059 8.059
angles: 90.00 90.00 90.00
Atoms (fractional coordinates):
Pm 0.250 0.250 0.250
Pm 0.250 0.250 0.750
Pm 0.250 0.750 0.250
Pm 0.250 0.750 0.750
Pm 0.750 0.250 0.250
Pm 0.750 0.250 0.750
Pm 0.750 0.750 0.250
Pm 0.750 0.750 0.750
Ho 0.000 0.000 0.000
Ho 0.000 0.500 0.500
Ho 0.500 0.000 0.500
Ho 0.500 0.500 0.000
Tm 0.000 0.000 0.500
Tm 0.000 0.500 0.000
Tm 0.500 0.000 0.000
Tm 0.500 0.500 0.500